# 1
Below is a relaxed structure of Zr5Al4, with properties calculated at the GGA-PBE level.

Calculated values
For the volume, the calculation gives 179.6 Å³/f.u. The space-group type is P6_3/mcm (193). Its formation energy from the elements is -0.42 eV per atom.

a = 8.4563 Å, b = 8.4563 Å, c = 5.8008 Å
α = 90.00°, β = 90.00°, γ = 120.00°
Closest atoms and distances in Å follow each position.
Positions (direct):
1 Al 0.0000 0.0000 0.5000  6 Zr 2.86, 2 Al 2.90
2 Al 0.0000 0.3698 0.7500  9 Zr 2.85-3.05
3 Al 0.6302 0.0000 0.2500  9 Zr 2.85-3.05
4 Al 0.0000 0.0000 0.0000  6 Zr 2.86, 2 Al 2.90
5 Al 0.3698 0.3698 0.2500  9 Zr 2.85-3.05
6 Al 0.6302 0.6302 0.7500  9 Zr 2.85-3.05
7 Al 0.3698 0.0000 0.7500  9 Zr 2.85-3.05
8 Al 0.0000 0.6302 0.2500  9 Zr 2.85-3.05
9 Zr 0.0000 0.7089 0.7500  7 Al 2.85-2.98
10 Zr 0.0000 0.2911 0.2500  7 Al 2.85-2.98
11 Zr 0.3333 0.6667 0.5000  2 Zr 2.90, 6 Al 3.05
12 Zr 0.6667 0.3333 0.0000  2 Zr 2.90, 6 Al 3.05
13 Zr 0.2911 0.0000 0.2500  7 Al 2.85-2.98
14 Zr 0.6667 0.3333 0.5000  2 Zr 2.90, 6 Al 3.05
15 Zr 0.7089 0.0000 0.7500  7 Al 2.85-2.98
16 Zr 0.7089 0.7089 0.2500  7 Al 2.85-2.98
17 Zr 0.3333 0.6667 0.0000  2 Zr 2.90, 6 Al 3.05
18 Zr 0.2911 0.2911 0.7500  7 Al 2.85-2.98

***

# 2
Below is a relaxed structure of K9Au3O2, with properties calculated at the GGA-PBE level.

Calculated values
For the volume, the calculation gives 477.4 Å³/f.u. The space-group type is P-3m1 (164). The value obtained for the formation energy from raw total energies is -0.588 eV/atom.

a = 7.6519 Å, b = 7.6519 Å, c = 9.4148 Å
α = 90.00°, β = 90.00°, γ = 120.00°
Closest atoms and distances in Å follow each position.
Positions (direct):
1 O 0.6667 0.3333 0.1610  6 K 2.54-2.68
2 O 0.3333 0.6667 0.8390  6 K 2.54-2.68
3 K 0.5000 0.5000 0.0000  2 O 2.68
4 K 0.6458 0.8229 0.6821  1 O 2.54
5 K 0.8229 0.6458 0.3179  1 O 2.54
6 K 0.5000 0.0000 0.0000  2 O 2.68
7 K 0.8229 0.1771 0.3179  1 O 2.54
8 K 0.0000 0.5000 0.0000  2 O 2.68
9 K 0.3542 0.1771 0.3179  1 O 2.54
10 K 0.1771 0.3542 0.6821  1 O 2.54
11 K 0.1771 0.8229 0.6821  1 O 2.54
12 Au 0.3333 0.6667 0.3501  12 K 3.75-3.97
13 Au 0.0000 0.0000 0.0000  12 K 3.80-3.83
14 Au 0.6667 0.3333 0.6499  12 K 3.75-3.97

***

# 3
Below is a relaxed structure of Pr6SmIn6, with properties calculated at the GGA-PBE level.

Calculated values
For the volume, the calculation gives 400.9 Å³/f.u. The space-group type is P6/mmm (191). Its formation energy from the elements is -0.34 eV per atom.

a = 6.4208 Å, b = 6.4208 Å, c = 11.2284 Å
α = 90.00°, β = 90.00°, γ = 120.00°
Closest atoms and distances in Å follow each position.
Positions (direct):
1 Pr 0.6667 0.3333 0.0000  6 In 3.33, 3 Pr 3.71, 3 Sm 3.71
2 Pr 0.3333 0.6667 0.5000  6 In 3.40, 3 Pr 3.71
3 Pr 0.0000 0.0000 0.6670  6 In 3.36, 1 Sm 3.74, 1 Pr 3.75
4 Pr 0.0000 0.0000 0.3330  6 In 3.36, 1 Sm 3.74, 1 Pr 3.75
5 Pr 0.6667 0.3333 0.5000  6 In 3.40, 3 Pr 3.71
6 Pr 0.3333 0.6667 0.0000  6 In 3.33, 3 Pr 3.71, 3 Sm 3.71
7 Sm 0.0000 0.0000 0.0000  8 Pr 3.71-3.74
8 In 0.0000 0.5000 0.7539  4 In 3.21, 6 Pr 3.33-3.40
9 In 0.5000 0.0000 0.2461  4 In 3.21, 6 Pr 3.33-3.40
10 In 0.5000 0.5000 0.7539  4 In 3.21, 6 Pr 3.33-3.40
11 In 0.5000 0.0000 0.7539  4 In 3.21, 6 Pr 3.33-3.40
12 In 0.0000 0.5000 0.2461  4 In 3.21, 6 Pr 3.33-3.40
13 In 0.5000 0.5000 0.2461  4 In 3.21, 6 Pr 3.33-3.40

***

# 4
Below is a relaxed structure of LaNiH6, with properties calculated at the GGA-PBE level.

Calculated values
For the volume, the calculation gives 67.3 Å³/f.u. The space-group type is R-3m (166). Its total energy is -4.19 eV/atom.

a = 4.5932 Å, b = 4.5932 Å, c = 4.5932 Å
α = 59.20°, β = 59.20°, γ = 59.20°
Closest atoms and distances in Å follow each position.
Positions (direct):
1 H 0.9063 0.9063 0.4070  1 Ni 1.55
2 H 0.4070 0.9063 0.9063  1 Ni 1.55
3 H 0.0937 0.0937 0.5930  1 Ni 1.55
4 H 0.5930 0.0937 0.0937  1 Ni 1.55
5 H 0.9063 0.4070 0.9063  1 Ni 1.55
6 H 0.0937 0.5930 0.0937  1 Ni 1.55
7 La 0.5000 0.5000 0.5000  12 H 2.50
8 Ni 0.0000 0.0000 0.0000  6 H 1.55

***

# 5
Below is a relaxed structure of LiPm2Cd12, with properties calculated at the GGA-PBE level.

Calculated values
For the volume, the calculation gives 364.7 Å³/f.u. The space-group type is P4/nbm (125). Its formation energy from the elements is -0.11 eV per atom.

a = 6.3054 Å, b = 6.3054 Å, c = 18.3485 Å
α = 90.00°, β = 90.00°, γ = 90.00°
Closest atoms and distances in Å follow each position.
Positions (direct):
1 Cd 0.3325 0.8325 0.4305  4 Cd 2.93-2.99
2 Cd 0.0000 0.0000 0.8141  5 Cd 2.73-2.91
3 Cd 0.2498 0.2502 0.9158  2 Li 2.71, 2 Cd 2.91
4 Cd 0.2502 0.2498 0.0842  2 Li 2.71, 2 Cd 2.91
5 Cd 0.0000 0.0000 0.3348  5 Cd 2.73-2.93
6 Cd 0.1675 0.6675 0.5695  4 Cd 2.93-2.99
7 Cd 0.0000 0.0000 0.1859  5 Cd 2.73-2.91
8 Cd 0.6675 0.8325 0.5695  4 Cd 2.93-2.99
9 Cd 0.2502 0.7502 0.9158  2 Li 2.71, 2 Cd 2.91
10 Cd 0.5000 0.5000 0.6652  5 Cd 2.73-2.93
11 Cd 0.6675 0.1675 0.4305  4 Cd 2.93-2.99
12 Cd 0.5000 0.5000 0.1859  5 Cd 2.73-2.91
13 Cd 0.7502 0.7498 0.9158  2 Li 2.71, 2 Cd 2.91
14 Cd 0.7502 0.2502 0.0842  2 Li 2.71, 2 Cd 2.91
15 Cd 0.2498 0.7498 0.0842  2 Li 2.71, 2 Cd 2.91
16 Cd 0.5000 0.5000 0.8141  5 Cd 2.73-2.91
17 Cd 0.0000 0.0000 0.6652  5 Cd 2.73-2.93
18 Cd 0.7498 0.2498 0.9158  2 Li 2.71, 2 Cd 2.91
19 Cd 0.8325 0.6675 0.4305  4 Cd 2.93-2.99
20 Cd 0.5000 0.5000 0.3348  5 Cd 2.73-2.93
21 Cd 0.3325 0.1675 0.5695  4 Cd 2.93-2.99
22 Cd 0.8325 0.3325 0.5695  4 Cd 2.93-2.99
23 Cd 0.7498 0.7502 0.0842  2 Li 2.71, 2 Cd 2.91
24 Cd 0.1675 0.3325 0.4305  4 Cd 2.93-2.99
25 Li 0.0000 0.5000 0.0000  8 Cd 2.71
26 Li 0.5000 0.0000 0.0000  8 Cd 2.71
27 Pm 0.0000 0.5000 0.7531  14 Cd 3.35-3.73
28 Pm 0.5000 0.0000 0.2469  14 Cd 3.35-3.73
29 Pm 0.0000 0.5000 0.2469  14 Cd 3.35-3.73
30 Pm 0.5000 0.0000 0.7531  14 Cd 3.35-3.73

***

# 6
Below is a relaxed structure of SrI2NO, with properties calculated at the GGA-PBE level.

Calculated values
The calculation puts the relative energy among the computed polymorphs at 531 meV/atom. For the volume, the calculation gives 211.9 Å³/f.u. The space-group type is P4/mmm (123). The value obtained for the formation energy from raw total energies is 0.710 eV/atom.

a = 6.4540 Å, b = 6.4540 Å, c = 5.0880 Å
α = 90.00°, β = 90.00°, γ = 90.00°
Closest atoms and distances in Å follow each position.
Positions (direct):
1 Sr 0.0000 0.0000 0.0000  2 N 2.54
2 I 0.0000 0.5000 0.0000  2 Sr 3.23
3 I 0.5000 0.0000 0.0000  2 Sr 3.23
4 N 0.0000 0.0000 0.5000  2 Sr 2.54
5 O 0.5000 0.5000 0.5000  8 I 4.11, 4 N 4.56